# PBE MgGa2Au5, optimized geometry
# Spin magnetization (μB/atom): 0.0000
# Energy (Ha/atom): -0.1198
# Density (g cm⁻³): 12.906
# D(E_F) (states/eV/cell): 6.08
# Energy of formation from the pure elements (eV per atom): -0.26
data_MgGa2Au5
_space_group_name_H-M_alt 'P 1 21/m 1'
_space_group_IT_number 11
_space_group_name_Hall '-P 2yb'
_cell_length_a 4.532
_cell_length_b 16.025
_cell_length_c 4.643
_cell_angle_alpha 90.00
_cell_angle_beta 118.78
_cell_angle_gamma 90.00
loop_
_atom_site_label
_atom_site_type_symbol
_atom_site_fract_x
_atom_site_fract_y
_atom_site_fract_z
Mg1 Mg 0.184 0.250 0.387
Ga1 Ga 0.093 0.582 0.173
Au1 Au 0.151 0.750 0.279
Au2 Au 0.235 0.065 0.476
Au3 Au 0.467 0.658 0.915